(1)
Compound: KSrZr2
Source: Alexandria
Functional: PBE
Structure: optimized geometry

Cell lengths 3.255, 6.164, 7.769 Å; angles 90.00, 101.01, 90.00 degrees
Atoms (fractional coordinates):
K  0.000  0.000  0.000
Sr  0.500  0.000  0.500
Zr  0.291  0.500  0.659
Zr  0.709  0.500  0.341

Properties
As for the density of states at the Fermi level: 5.82 states/eV/f.u. As for the space-group type: P2/m, No. 10. The value obtained for the total energy is -4.2078 eV/atom. The calculation puts the formation energy at 0.761 eV/atom. The offset from the most stable computed form is 355 meV per atom.

---

(2)
Compound: Li2FeAu
Source: Alexandria
Functional: PBE
Structure: optimized geometry

Cell lengths 6.977, 6.977, 5.166 Å; angles 90.00, 90.00, 90.00 degrees
Atoms (fractional coordinates):
Li  0.245  0.250  0.125
Li  0.250  0.745  0.375
Li  0.250  0.755  0.875
Li  0.255  0.250  0.625
Li  0.745  0.750  0.625
Li  0.750  0.245  0.875
Li  0.750  0.255  0.375
Li  0.755  0.750  0.125
Fe  0.000  0.000  0.500
Fe  0.000  0.500  0.750
Fe  0.500  0.000  0.250
Fe  0.500  0.500  0.000
Au  0.000  0.000  0.000
Au  0.000  0.500  0.250
Au  0.500  0.000  0.750
Au  0.500  0.500  0.500

Properties
As for the density of states at the Fermi level: 3.49 states/eV/f.u. As for the space-group type: I-42d, No. 122. The value obtained for the total energy is -3.6877 eV/atom. The calculation puts the formation energy at 0.204 eV/atom.

---

(3)
Compound: CsRbIrI6
Source: Alexandria
Functional: PBE
Structure: optimized geometry

Cell lengths 8.818, 8.818, 6.989 Å; angles 90.04, 90.04, 120.19 degrees
Atoms (fractional coordinates):
Cs  0.000  0.000  0.000
Rb  0.666  0.334  0.500
Ir  0.333  0.667  0.500
I  0.080  0.418  0.277
I  0.082  0.662  0.725
I  0.338  0.918  0.275
I  0.339  0.421  0.726
I  0.579  0.661  0.274
I  0.582  0.920  0.723

Properties
As for the density of states at the Fermi level: 13.15 states/eV/f.u. As for the space-group type: C2, No. 5. The value obtained for the total energy is -2.8341 eV/atom.

---

(4)
Compound: BeTcBi2C
Source: Alexandria
Functional: PBE
Structure: optimized geometry

Cell lengths 5.428, 5.428, 3.823 Å; angles 90.00, 90.00, 90.00 degrees
Atoms (fractional coordinates):
Be  0.000  0.000  0.000
Tc  0.500  0.500  0.500
Bi  0.000  0.500  0.500
Bi  0.500  0.000  0.500
C  0.500  0.500  0.000

Properties
As for the density of states at the Fermi level: 3.48 states/eV/f.u. As for the space-group type: P4/mmm, No. 123. The value obtained for the total energy is -5.0698 eV/atom. The calculation puts the formation energy at 1.146 eV/atom.

---

(5)
Compound: Ca3Ta2N4
Source: Alexandria
Functional: PBE
Structure: optimized geometry

Cell lengths 8.459, 8.459, 5.346 Å; angles 93.54, 93.54, 56.15 degrees
Atoms (fractional coordinates):
Ca  0.105  0.895  0.750
Ca  0.243  0.490  0.492
Ca  0.490  0.243  0.992
Ca  0.510  0.757  0.008
Ca  0.757  0.510  0.508
Ca  0.895  0.105  0.250
Ta  0.088  0.294  0.937
Ta  0.294  0.088  0.437
Ta  0.706  0.912  0.563
Ta  0.912  0.706  0.063
N  0.041  0.190  0.606
N  0.162  0.499  0.941
N  0.190  0.041  0.106
N  0.499  0.162  0.441
N  0.501  0.838  0.559
N  0.810  0.959  0.894
N  0.838  0.501  0.059
N  0.959  0.810  0.394

Properties
As for the density of states at the Fermi level: 2.57 states/eV/f.u. As for the space-group type: C2/c, No. 15. The value obtained for the total energy is -7.8611 eV/atom.

---

(6)
Compound: ScUSi2
Source: Alexandria
Functional: PBE
Structure: optimized geometry

Cell lengths 4.040, 4.040, 18.242 Å; angles 90.00, 90.00, 120.00 degrees
Atoms (fractional coordinates):
Sc  0.000  0.000  0.000
Sc  0.333  0.667  0.667
Sc  0.667  0.333  0.333
U  0.000  0.000  0.500
U  0.333  0.667  0.167
U  0.667  0.333  0.833
Si  0.000  0.000  0.251
Si  0.000  0.000  0.749
Si  0.333  0.667  0.416
Si  0.333  0.667  0.918
Si  0.667  0.333  0.082
Si  0.667  0.333  0.584

Properties
As for the density of states at the Fermi level: 5.21 states/eV/f.u. As for the space-group type: R-3m, No. 166. The value obtained for the total energy is -7.3322 eV/atom.